First-principles (PBE) data for an optimized crystal structure of LiZrTl, as listed in Alexandria via LeMat-Bulk.

The electronic total energy is -4.388 eV/atom. The calculation puts the formation energy at -0.112 eV per atom.

The space group is P2_1/m (No. 11) and the conventional cell measures 3.261, 4.233 and 9.387 Å, with angles of 90.00, 90.32 and 90.00 degrees. Symmetry generates all atoms from Li at (0.249, 0.250, 0.079), Zr at (0.249, 0.250, 0.414) and Tl at (0.253, 0.250, 0.768).